[1]
Computed, not measured: crystalline Rb2Zn2S3 at its relaxed geometry at the GGA-PBE level of DFT.

Lattice parameters (Å, degrees): 6.856 10.945 10.945 80.86 70.80 70.80
Sites, in units of the cell vectors:
Rb: 0.861 0.011 0.190
Rb: 0.361 0.190 0.011
Rb: 0.750 0.291 0.709
Rb: 0.750 0.569 0.431
Rb: 0.250 0.431 0.569
Rb: 0.250 0.709 0.291
Rb: 0.639 0.810 0.989
Rb: 0.139 0.989 0.810
Zn: 0.651 0.350 0.195
Zn: 0.629 0.079 0.530
Zn: 0.151 0.195 0.350
Zn: 0.129 0.530 0.079
Zn: 0.871 0.470 0.921
Zn: 0.849 0.805 0.650
Zn: 0.371 0.921 0.470
Zn: 0.349 0.650 0.805
S: 0.763 0.249 0.394
S: 0.750 0.545 0.141
S: 0.263 0.394 0.249
S: 0.250 0.141 0.545
S: 0.837 0.260 0.989
S: 0.163 0.740 0.011
S: 0.750 0.859 0.455
S: 0.737 0.606 0.751
S: 0.337 0.989 0.260
S: 0.250 0.455 0.859
S: 0.237 0.751 0.606
S: 0.663 0.011 0.740

Values from the calculation:
Raw total energy in eV/atom: -3.353
Total moment in μB per formula unit: 0.0
E_form (uncorrected) in eV per formula unit: -6.6



[2]
Computed, not measured: crystalline VHI3 at its relaxed geometry at the GGA-PBE level of DFT.

Lattice parameters (Å, degrees): 5.077 5.077 5.077 90.00 90.00 90.00
Sites, in units of the cell vectors:
I: 0.000 0.500 0.000
I: 0.000 0.000 0.500
I: 0.500 0.000 0.000
H: 0.000 0.000 0.000
V: 0.500 0.500 0.500

Values from the calculation:
Raw total energy in eV/atom: -2.534
Total moment in μB per formula unit: 2.8
ΔE to the lowest computed polymorph in eV/f.u.: 5.479



[3]
Computed, not measured: crystalline Ba2Re at its relaxed geometry at the GGA-PBE level of DFT.

Lattice parameters (Å, degrees): 5.666 5.666 3.532 90.00 90.00 90.00
Sites, in units of the cell vectors:
Re: 0.000 0.000 0.000
Ba: 0.000 0.500 0.500
Ba: 0.500 0.000 0.500

Values from the calculation:
E_form in eV/atom: 1.17
Raw total energy in eV/atom: -4.263
Total moment in μB per formula unit: 1.3
ΔE to the lowest computed polymorph in eV/f.u.: 2.180



[4]
Computed, not measured: crystalline Ce4PaO10 at its relaxed geometry at the GGA-PBE level of DFT.

Lattice parameters (Å, degrees): 5.473 6.701 6.701 80.40 65.90 65.90
Sites, in units of the cell vectors:
Ce: 0.401 0.798 0.400
Ce: 0.801 0.600 0.798
Ce: 0.199 0.400 0.202
Ce: 0.599 0.202 0.600
Pa: 0.000 0.000 0.000
O: 0.250 0.500 0.500
O: 0.658 0.293 0.904
O: 0.049 0.096 0.293
O: 0.438 0.904 0.707
O: 0.855 0.707 0.096
O: 0.342 0.707 0.096
O: 0.750 0.500 0.500
O: 0.145 0.293 0.904
O: 0.562 0.096 0.293
O: 0.951 0.904 0.707

Values from the calculation:
Raw total energy in eV/atom: -9.096
Total moment in μB per formula unit: 1.4
E_form (uncorrected) in eV per formula unit: -53.6



> The highest raw total energy belongs to which entry?

VHI3